# 1
The following is a PBE-GGA calculation of an optimized crystal structure of Ac3OsS6, from the Alexandria database.

a = 8.1620 Å, b = 8.1620 Å, c = 8.1620 Å
α = 97.12°, β = 97.12°, γ = 97.12°
Closest atoms and distances in Å follow each position.
Element x y z (fractional)
Ac (0.3864, 0.8887, 0.7089)  7 S 2.89-3.21
Ac (0.8887, 0.7089, 0.3864)  7 S 2.89-3.21
Ac (0.2911, 0.6136, 0.1113)  7 S 2.89-3.21
Ac (0.7089, 0.3864, 0.8887)  7 S 2.89-3.21
Ac (0.1113, 0.2911, 0.6136)  7 S 2.89-3.21
Ac (0.6136, 0.1113, 0.2911)  7 S 2.89-3.21
Os (0.0000, 0.0000, 0.0000)  6 S 2.44
Os (0.5000, 0.5000, 0.5000)  6 S 2.50
S (0.2950, 0.9734, 0.0583)  1 Os 2.44
S (0.0266, 0.9417, 0.7050)  1 Os 2.44
S (0.5585, 0.7869, 0.4254)  1 Os 2.50
S (0.9417, 0.7050, 0.0266)  1 Os 2.44
S (0.4254, 0.5585, 0.7869)  1 Os 2.50
S (0.2131, 0.5746, 0.4415)  1 Os 2.50
S (0.7869, 0.4254, 0.5585)  1 Os 2.50
S (0.5746, 0.4415, 0.2131)  1 Os 2.50
S (0.0583, 0.2950, 0.9734)  1 Os 2.44
S (0.4415, 0.2131, 0.5746)  1 Os 2.50
S (0.9734, 0.0583, 0.2950)  1 Os 2.44
S (0.7050, 0.0266, 0.9417)  1 Os 2.44

Properties
The value obtained for the magnetic moment is 2.05 μB per cell. The calculation puts the formation energy (no corrections) at -1.53 eV/atom. As for the space group: R-3. Its crystal system is trigonal. As for the total energy: -6.36 eV per atom.

# 2
The following is a PBE-GGA calculation of an optimized crystal structure of KSr2Co, from the Alexandria database.

a = 3.8289 Å, b = 3.8289 Å, c = 10.9907 Å
α = 90.00°, β = 90.00°, γ = 90.38°
Closest atoms and distances in Å follow each position.
Element x y z (fractional)
Co (0.5000, 0.5000, 0.2500)  8 Sr 3.21-3.22
K (0.5000, 0.5000, 0.7500)  4 K 3.83
Sr (0.0000, 0.0000, 0.0922)  4 Co 3.21-3.22, 1 Sr 3.47
Sr (0.0000, 0.0000, 0.4078)  4 Co 3.21-3.22, 1 Sr 3.47

Properties
The value obtained for the magnetic moment is 0.77 μB per cell. The formation energy comes out at 0.35 eV/atom. As for the space group: Cmmm. Its crystal system is orthorhombic. As for the total energy: -2.54 eV per atom.

# 3
The following is a PBE-GGA calculation of an optimized crystal structure of BaAs3, from the Alexandria database.

a = 8.1478 Å, b = 8.1478 Å, c = 8.1478 Å
α = 28.73°, β = 28.73°, γ = 28.73°
Closest atoms and distances in Å follow each position.
Element x y z (fractional)
As (0.7682, 0.7682, 0.7682)  3 As 2.79
As (0.5000, 0.5000, 0.5000)  6 As 2.79
As (0.2318, 0.2318, 0.2318)  3 As 2.79
Ba (0.0000, 0.0000, 0.0000)  6 As 3.33

Properties
The value obtained for the magnetic moment is 0.00 μB per cell. The formation energy comes out at -0.18 eV/atom. As for the space group: R-3m. Its crystal system is trigonal. As for the total energy: -4.15 eV per atom.

# 4
The following is a PBE-GGA calculation of an optimized crystal structure of SrGa, from the Alexandria database.

a = 8.9738 Å, b = 8.9738 Å, c = 8.9738 Å
α = 90.00°, β = 90.00°, γ = 90.00°
Closest atoms and distances in Å follow each position.
Element x y z (fractional)
Sr (0.2500, 0.5000, 0.0000)  4 Ga 3.17
Sr (0.7500, 0.5000, 0.0000)  4 Ga 3.17
Sr (0.5000, 0.0000, 0.2500)  4 Ga 3.17
Sr (0.5000, 0.0000, 0.7500)  4 Ga 3.17
Sr (0.0000, 0.2500, 0.5000)  4 Ga 3.17
Sr (0.0000, 0.7500, 0.5000)  4 Ga 3.17
Ga (0.2500, 0.0000, 0.5000)  4 Sr 3.17
Ga (0.7500, 0.0000, 0.5000)  4 Sr 3.17
Ga (0.0000, 0.5000, 0.2500)  4 Sr 3.17
Ga (0.0000, 0.5000, 0.7500)  4 Sr 3.17
Ga (0.5000, 0.2500, 0.0000)  4 Sr 3.17
Ga (0.5000, 0.7500, 0.0000)  4 Sr 3.17

Properties
The value obtained for the magnetic moment is 6.03 μB per cell. The formation energy comes out at 0.51 eV/atom. As for the space group: Pm-3n. Its crystal system is cubic. As for the total energy: -1.85 eV per atom.

# 5
The following is a PBE-GGA calculation of an optimized crystal structure of FeTcPb2, from the Alexandria database.

a = 4.6884 Å, b = 4.6884 Å, c = 4.6884 Å
α = 60.00°, β = 60.00°, γ = 60.00°
Closest atoms and distances in Å follow each position.
Element x y z (fractional)
Pb (0.2500, 0.2500, 0.2500)  4 Tc 2.87, 4 Fe 2.87
Pb (0.7500, 0.7500, 0.7500)  4 Tc 2.87, 4 Fe 2.87
Tc (0.5000, 0.5000, 0.5000)  8 Pb 2.87
Fe (0.0000, 0.0000, 0.0000)  8 Pb 2.87

Properties
The value obtained for the magnetic moment is 0.00 μB per cell. The formation energy comes out at 0.82 eV/atom. As for the space group: Fm-3m. Its crystal system is cubic. As for the total energy: -5.74 eV per atom.

# 6
The following is a PBE-GGA calculation of an optimized crystal structure of ZrOs2Cl, from the Alexandria database.

a = 3.7349 Å, b = 2.9328 Å, c = 7.5633 Å
α = 78.66°, β = 90.00°, γ = 90.00°
Closest atoms and distances in Å follow each position.
Element x y z (fractional)
Cl (0.5000, 0.9642, 0.6908)  4 Zr 2.88, 2 Cl 2.93
Os (0.0000, 0.7599, 0.1093)  4 Os 2.54, 1 Zr 2.68
Os (0.5000, 0.1991, 0.2292)  4 Os 2.54
Zr (0.0000, 0.5768, 0.4707)  5 Os 2.68-2.97, 4 Cl 2.88, 2 Zr 2.93

Properties
The value obtained for the magnetic moment is 0.00 μB per cell. The calculation puts the formation energy (no corrections) at -0.03 eV/atom. As for the space group: Pm. Its crystal system is monoclinic. As for the total energy: -8.24 eV per atom.

# 7
The following is a PBE-GGA calculation of an optimized crystal structure of AcCeBiAs, from the Alexandria database.

a = 4.4624 Å, b = 4.4625 Å, c = 8.3116 Å
α = 90.00°, β = 105.57°, γ = 120.00°
Closest atoms and distances in Å follow each position.
Element x y z (fractional)
Ac (0.3213, 0.5586, 0.8952)  3 As 3.17, 3 Bi 3.46
Ce (0.9530, 0.3745, 0.3427)  3 As 3.08, 3 Bi 3.30
Bi (0.4603, 0.1281, 0.6036)  3 Ce 3.30, 3 Ac 3.46
As (0.1433, 0.9696, 0.1282)  3 Ce 3.08, 3 Ac 3.17

Properties
The value obtained for the magnetic moment is 0.91 μB per cell. The formation energy comes out at -1.03 eV/atom. As for the space group: R3m. Its crystal system is trigonal. As for the total energy: -5.67 eV per atom.

# 8
The following is a PBE-GGA calculation of an optimized crystal structure of SrYCu10, from the Alexandria database.

a = 4.0326 Å, b = 5.2088 Å, c = 8.9208 Å
α = 90.00°, β = 90.00°, γ = 90.00°
Closest atoms and distances in Å follow each position.
Element x y z (fractional)
Sr (0.0000, 0.5000, 0.5000)  18 Cu 3.03-3.35
Y (0.0000, 0.0000, 0.0000)  14 Cu 2.90-3.20
Cu (0.0000, 0.0000, 0.3253)  6 Cu 2.50-2.55
Cu (0.0000, 0.5000, 0.8401)  6 Cu 2.47-2.52
Cu (0.0000, 0.5000, 0.1599)  6 Cu 2.47-2.52
Cu (0.0000, 0.0000, 0.6747)  6 Cu 2.50-2.55
Cu (0.5000, 0.0000, 0.5000)  8 Cu 2.55-2.64
Cu (0.5000, 0.5000, 0.0000)  8 Cu 2.47-2.52
Cu (0.5000, 0.2432, 0.2399)  8 Cu 2.50-2.68
Cu (0.5000, 0.7568, 0.7601)  8 Cu 2.50-2.68
Cu (0.5000, 0.7568, 0.2399)  8 Cu 2.50-2.68
Cu (0.5000, 0.2432, 0.7601)  8 Cu 2.50-2.68

Properties
The value obtained for the magnetic moment is 0.00 μB per cell. The formation energy comes out at -0.13 eV/atom. As for the space group: Pmmm. Its crystal system is orthorhombic. As for the total energy: -4.22 eV per atom.

What did the sixth record say?
The following is a PBE-GGA calculation of an optimized crystal structure of ZrOs2Cl, from the Alexandria database.

a = 3.7349 Å, b = 2.9328 Å, c = 7.5633 Å
α = 78.66°, β = 90.00°, γ = 90.00°
Closest atoms and distances in Å follow each position.
Element x y z (fractional)
Cl (0.5000, 0.9642, 0.6908)  4 Zr 2.88, 2 Cl 2.93
Os (0.0000, 0.7599, 0.1093)  4 Os 2.54, 1 Zr 2.68
Os (0.5000, 0.1991, 0.2292)  4 Os 2.54
Zr (0.0000, 0.5768, 0.4707)  5 Os 2.68-2.97, 4 Cl 2.88, 2 Zr 2.93

Properties
The value obtained for the magnetic moment is 0.00 μB per cell. The calculation puts the formation energy (no corrections) at -0.03 eV/atom. As for the space group: Pm. Its crystal system is monoclinic. As for the total energy: -8.24 eV per atom.